[1]
# YAg2Te (PBE, relaxed)
data_YAg2Te
_chemical_formula_sum 'Y1 Ag2 Te1'
_symmetry_space_group_name_H-M 'P 1'
_symmetry_Int_Tables_number 1
_cell_length_a 4.4838
_cell_length_b 4.4838
_cell_length_c 6.4527
_cell_angle_alpha 110.27
_cell_angle_beta 110.27
_cell_angle_gamma 59.96
loop_
_symmetry_equiv_pos_as_xyz
'x,y,z'
loop_
_atom_site_label
_atom_site_type_symbol
_atom_site_fract_x
_atom_site_fract_y
_atom_site_fract_z
_atom_site_occupancy
Y1 Y 0.0000 0.0000 0.0000 1
Ag1 Ag 0.2482 0.2482 0.7445 1
Ag2 Ag 0.5268 0.5268 0.5803 1
Te1 Te 0.7676 0.7676 0.3034 1
# DOS at the Fermi energy in states/eV/f.u.: 1.820
# Total energy in eV for the cell shown: -16.91
# Formation energy from raw total energies in eV/atom: -0.4012
# Space-group type: No. 8
# Magnetization in μB/cell: 0.00

---

[2]
# HgPb6I12 (PBE, relaxed)
data_HgPb6I12
_chemical_formula_sum 'Hg1 Pb6 I12'
_symmetry_space_group_name_H-M 'P 1'
_symmetry_Int_Tables_number 1
_cell_length_a 10.1712
_cell_length_b 10.1712
_cell_length_c 10.1712
_cell_angle_alpha 108.35
_cell_angle_beta 108.35
_cell_angle_gamma 108.35
loop_
_symmetry_equiv_pos_as_xyz
'x,y,z'
loop_
_atom_site_label
_atom_site_type_symbol
_atom_site_fract_x
_atom_site_fract_y
_atom_site_fract_z
_atom_site_occupancy
Hg1 Hg 0.0000 0.0000 0.0000 1
Pb1 Pb 0.1940 0.2670 0.5991 1
Pb2 Pb 0.2670 0.5991 0.1940 1
Pb3 Pb 0.4009 0.8060 0.7330 1
Pb4 Pb 0.5991 0.1940 0.2670 1
Pb5 Pb 0.7330 0.4009 0.8060 1
Pb6 Pb 0.8060 0.7330 0.4009 1
I1 I 0.0358 0.3290 0.8400 1
I2 I 0.1522 0.4685 0.4121 1
I3 I 0.1600 0.9642 0.6710 1
I4 I 0.3290 0.8400 0.0358 1
I5 I 0.4121 0.1522 0.4685 1
I6 I 0.4685 0.4121 0.1522 1
I7 I 0.5315 0.5879 0.8478 1
I8 I 0.5879 0.8478 0.5315 1
I9 I 0.6710 0.1600 0.9642 1
I10 I 0.8400 0.0358 0.3290 1
I11 I 0.8478 0.5315 0.5879 1
I12 I 0.9642 0.6710 0.1600 1
# DOS at the Fermi energy in states/eV/f.u.: 0.000
# Total energy in eV for the cell shown: -51.44
# Formation energy from raw total energies in eV/atom: -0.5414
# Space-group type: No. 148
# Magnetization in μB/cell: 0.00